No. 1
Sm2Be3ZnNi12, optimized geometry, DFT PBE; E_form = 4.034 eV/f.u.; density of states at the Fermi level = 0.65 states/eV/atom; space group = R-3m, No. 166; crystal system = trigonal; V = 256.6 Å³/cell
1.0
3.723 2.150 5.343
-3.723 2.150 5.343
0.000 -4.299 5.343
Sm Be Zn Ni
2 3 1 12
Direct
0.107 0.107 0.107
0.893 0.893 0.893
0.000 0.500 0.500
0.500 0.000 0.500
0.500 0.500 0.000
0.500 0.500 0.500
0.114 0.634 0.634
0.157 0.157 0.591
0.157 0.591 0.157
0.366 0.366 0.886
0.366 0.886 0.366
0.409 0.843 0.843
0.591 0.157 0.157
0.634 0.114 0.634
0.634 0.634 0.114
0.843 0.409 0.843
0.843 0.843 0.409
0.886 0.366 0.366

***

No. 2
La4Ti9Si4O30, optimized geometry, DFT PBE; E_form (uncorrected) = -3.092 eV per atom; density of states at the Fermi level = 0.19 states/eV/atom; space group = C2/m, No. 12; crystal system = monoclinic; V = 568.0 Å³/cell
1.0
6.906 -2.886 0.000
6.906 2.886 0.000
-1.370 0.000 14.250
La Ti Si O
4 9 4 30
Direct
0.017 0.017 0.308
0.298 0.298 0.313
0.702 0.702 0.687
0.983 0.983 0.692
0.098 0.629 0.891
0.133 0.133 0.881
0.371 0.902 0.109
0.406 0.406 0.118
0.500 0.500 0.500
0.594 0.594 0.882
0.629 0.098 0.891
0.867 0.867 0.119
0.902 0.371 0.109
0.146 0.146 0.535
0.346 0.346 0.677
0.654 0.654 0.323
0.854 0.854 0.465
0.039 0.039 0.135
0.108 0.586 0.739
0.127 0.630 0.025
0.145 0.646 0.216
0.146 0.679 0.432
0.166 0.166 0.427
0.238 0.238 0.134
0.244 0.244 0.610
0.266 0.266 0.883
0.321 0.854 0.568
0.354 0.855 0.784
0.370 0.873 0.975
0.414 0.892 0.261
0.439 0.439 0.616
0.461 0.461 0.881
0.539 0.539 0.119
0.561 0.561 0.384
0.586 0.108 0.739
0.630 0.127 0.025
0.646 0.145 0.216
0.679 0.146 0.432
0.734 0.734 0.117
0.756 0.756 0.390
0.762 0.762 0.866
0.834 0.834 0.573
0.854 0.321 0.568
0.855 0.354 0.784
0.873 0.370 0.975
0.892 0.414 0.261
0.961 0.961 0.865

***

No. 3
ZrAgAu, optimized geometry, DFT PBE; E_form = -0.980 eV/f.u.; excess energy over the best structure of this formula in the dataset = 0.1 kJ per mole of atoms; density of states at the Fermi level = 0.54 states/eV/atom; space group = Imm2, No. 44; crystal system = orthorhombic; V = 57.1 Å³/cell
1.0
-1.575 2.035 4.455
1.575 -2.035 4.455
1.575 2.035 -4.455
Zr Ag Au
1 1 1
Direct
0.000 0.000 0.000
0.671 0.671 0.000
0.336 0.336 0.000

***

No. 4
CsErBiCl6, optimized geometry, DFT PBE; E_form (uncorrected) = -1.685 eV per atom; space group = P1, No. 1; crystal system = triclinic; V = 363.5 Å³/cell
1.0
7.256 0.000 0.000
-2.879 6.687 0.000
-0.301 -0.444 7.491
Cs Er Bi Cl
1 1 1 6
Direct
0.000 0.000 0.000
0.340 0.661 0.501
0.687 0.313 0.500
0.055 0.380 0.676
0.073 0.654 0.270
0.349 0.926 0.734
0.373 0.352 0.310
0.619 0.945 0.324
0.651 0.627 0.689

***

No. 5
Nd2HoTm3Te6, optimized geometry, DFT PBE; E_form (uncorrected) = -1.272 eV per atom; density of states at the Fermi level = 0.52 states/eV/atom; space group = C2/m, No. 12; crystal system = monoclinic; V = 355.2 Å³/cell
1.0
9.617 -2.159 0.000
9.617 2.159 0.000
-2.295 0.000 8.556
Nd Ho Tm Te
2 1 3 6
Direct
0.170 0.170 0.339
0.830 0.830 0.661
0.500 0.500 0.000
0.173 0.173 0.837
0.500 0.500 0.500
0.827 0.827 0.163
0.005 0.005 0.750
0.336 0.336 0.927
0.339 0.339 0.406
0.661 0.661 0.594
0.664 0.664 0.073
0.995 0.995 0.250

***

No. 6
RbAgIO2, optimized geometry, DFT PBE; E_form (uncorrected) = 0.012 eV per atom; excess energy over the best structure of this formula in the dataset = 0.0 kJ per mole of atoms; density of states at the Fermi level = 1.17 states/eV/atom; space group = P4/mmm, No. 123; crystal system = tetragonal; V = 120.2 Å³/cell
1.0
4.634 0.000 0.000
0.000 4.634 0.000
0.000 0.000 5.598
Rb Ag I O
1 1 1 2
Direct
0.000 0.000 0.000
0.500 0.500 0.500
0.500 0.500 0.000
0.000 0.500 0.500
0.500 0.000 0.500

***

The lowest V belongs to which entry?
ZrAgAu

***

The highest V belongs to which entry?
La4Ti9Si4O30